[1]
First-principles (PBE) data for a relaxed PaHF3 crystal, as listed in Alexandria.

Cell lengths 4.498, 4.498, 4.498 Å; angles 90.00, 90.00, 90.00 degrees
Positions (direct):
Pa  0.000  0.000  0.000
H  0.500  0.500  0.500
F  0.000  0.000  0.500
F  0.000  0.500  0.000
F  0.500  0.000  0.000

=====

[2]
First-principles (PBE) data for a relaxed PrGd2Pu crystal, as listed in Alexandria.

Results
The formation energy from the elements comes out at 0.197 eV/atom. For the distance to the lowest polymorph of the same formula, the calculation gives 92 meV per atom.

Cell lengths 5.822, 5.822, 3.743 Å; angles 90.00, 90.00, 90.00 degrees
Positions (direct):
Pr  0.000  0.000  0.000
Gd  0.000  0.500  0.500
Gd  0.500  0.000  0.500
Pu  0.500  0.500  0.000

=====

[3]
First-principles (PBE) data for a relaxed Ac6Hg3HRh2 crystal, as listed in Alexandria.

Cell lengths 7.375, 7.375, 8.571 Å; angles 98.11, 98.11, 120.13 degrees
Positions (direct):
Ac  0.090  0.429  0.789
Ac  0.233  0.233  0.200
Ac  0.429  0.090  0.789
Ac  0.571  0.910  0.211
Ac  0.767  0.767  0.800
Ac  0.910  0.571  0.211
Hg  0.000  0.000  0.500
Hg  0.341  0.659  0.500
Hg  0.659  0.341  0.500
H  0.500  0.500  0.000
Rh  0.168  0.832  0.000
Rh  0.832  0.168  0.000

=====

[4]
First-principles (PBE) data for a relaxed Er3SiC3 crystal, as listed in Alexandria.

Results
The formation energy from raw total energies comes out at -0.2526 eV per atom.

Cell lengths 10.918, 3.443, 10.988 Å; angles 90.00, 90.00, 90.00 degrees
Positions (direct):
Er  0.089  0.250  0.096
Er  0.124  0.750  0.516
Er  0.216  0.750  0.810
Er  0.284  0.250  0.310
Er  0.376  0.250  0.016
Er  0.411  0.750  0.596
Er  0.589  0.250  0.404
Er  0.624  0.750  0.984
Er  0.716  0.750  0.690
Er  0.784  0.250  0.190
Er  0.876  0.250  0.484
Er  0.911  0.750  0.904
Si  0.034  0.250  0.707
Si  0.466  0.750  0.207
Si  0.534  0.250  0.793
Si  0.966  0.750  0.293
C  0.049  0.250  0.346
C  0.063  0.250  0.878
C  0.212  0.250  0.647
C  0.288  0.750  0.147
C  0.437  0.750  0.378
C  0.451  0.750  0.846
C  0.549  0.250  0.154
C  0.563  0.250  0.622
C  0.712  0.250  0.853
C  0.788  0.750  0.353
C  0.937  0.750  0.122
C  0.951  0.750  0.654

=====

[5]
First-principles (PBE) data for a relaxed Ta2MnAg crystal, as listed in Alexandria.

Results
The formation energy from the elements comes out at 0.331 eV/atom. For the distance to the lowest polymorph of the same formula, the calculation gives 184 meV per atom.

Cell lengths 4.952, 4.952, 5.057 Å; angles 101.56, 101.56, 33.67 degrees
Positions (direct):
Ta  0.000  0.000  0.000
Ta  0.244  0.244  0.720
Mn  0.503  0.503  0.503
Ag  0.758  0.758  0.240

=====

[6]
First-principles (PBE) data for a relaxed Pr2Y7Sc2 crystal, as listed in Alexandria.

Results
The formation energy from the elements comes out at 0.103 eV/atom.

Cell lengths 6.418, 6.418, 8.739 Å; angles 97.98, 97.98, 92.51 degrees
Positions (direct):
Pr  0.104  0.104  0.358
Pr  0.896  0.896  0.642
Y  0.050  0.423  0.721
Y  0.351  0.351  0.088
Y  0.423  0.050  0.721
Y  0.500  0.500  0.500
Y  0.577  0.950  0.279
Y  0.649  0.649  0.912
Y  0.950  0.577  0.279
Sc  0.169  0.831  0.000
Sc  0.831  0.169  0.000

=====

What are the DFT total energy values for these records? In order: -6.15, -11.62, -4.15, -6.94, -8.60, -6.03 eV/atom.